[1]
Computed, not measured: an optimized crystal structure of La6TmAg5 at the PBE level of DFT.

Properties
N(E_F), states/eV/atom: 0.9472
Uncorrected energy, eV/cell: -50.4
M_tot, μB/cell: 0.0
Symmetry: Cmmm
Calculated volume, Å³ per atom: 28.8

a b c (Å): 5.424 7.696 8.713
angles (deg): 90.00 108.10 90.00
Atoms (fractional coordinates):
La  0.500  0.271  0.000
La  0.825  0.753  0.650
La  0.175  0.753  0.350
Ag  0.666  0.500  0.334
Ag  0.354  0.000  0.709
La  0.825  0.247  0.650
Ag  0.334  0.500  0.666
Ag  0.646  0.000  0.291
Ag  0.000  0.500  0.000
Tm  0.000  0.000  0.000
La  0.500  0.729  0.000
La  0.175  0.247  0.350

[2]
Computed, not measured: an optimized crystal structure of SiPSO2 at the PBE level of DFT.

Properties
Formation energy without anion corrections, eV per atom: 0.196
N(E_F), states/eV/atom: 0.3082
Uncorrected energy, eV/cell: -23.9
M_tot, μB/cell: 0.0
Symmetry: P4/mmm
Calculated volume, Å³ per atom: 12.1

a b c (Å): 3.599 3.599 4.671
angles (deg): 90.00 90.00 90.00
Atoms (fractional coordinates):
S  0.000  0.000  0.000
Si  0.500  0.500  0.500
O  0.500  0.000  0.000
O  0.000  0.500  0.000
P  0.000  0.000  0.500

[3]
Computed, not measured: an optimized crystal structure of LiZr2Cu at the PBE level of DFT.

Properties
N(E_F), states/eV/atom: 0.8374
Uncorrected energy, eV/cell: -22.7
M_tot, μB/cell: 0.0
Symmetry: Pm
Calculated volume, Å³ per atom: 18.2

a b c (Å): 4.246 3.068 5.780
angles (deg): 74.64 90.00 90.00
Atoms (fractional coordinates):
Zr  0.000  0.958  0.958
Zr  0.500  0.291  0.293
Cu  0.000  0.689  0.500
Li  0.500  0.562  0.749

[4]
Computed, not measured: an optimized crystal structure of Tl3Hg3Sb at the PBE level of DFT.

Properties
Formation energy without anion corrections, eV per atom: 0.013
N(E_F), states/eV/atom: 0.3052
Uncorrected energy, eV/cell: -24.1
M_tot, μB/cell: 0.0
Symmetry: P6_3/m
Calculated volume, Å³ per atom: 29.3

a b c (Å): 5.621 9.177 9.177
angles (deg): 120.00 90.00 90.00
Atoms (fractional coordinates):
Sb  0.250  0.667  0.333
Hg  0.750  0.187  0.230
Hg  0.750  0.770  0.957
Tl  0.750  0.908  0.369
Hg  0.250  0.230  0.043
Tl  0.750  0.631  0.539
Hg  0.250  0.813  0.770
Tl  0.250  0.369  0.461
Hg  0.250  0.957  0.187
Sb  0.750  0.333  0.667
Tl  0.250  0.092  0.631
Tl  0.250  0.539  0.908
Tl  0.750  0.461  0.092
Hg  0.750  0.043  0.813

[5]
Computed, not measured: an optimized crystal structure of SrLiAcRh at the PBE level of DFT.

Properties
N(E_F), states/eV/atom: 0.6398
Uncorrected energy, eV/cell: -15.8
M_tot, μB/cell: 0.0
Symmetry: F-43m
Calculated volume, Å³ per atom: 27.0

a b c (Å): 5.345 5.345 5.345
angles (deg): 60.00 60.00 60.00
Atoms (fractional coordinates):
Li  0.000  0.000  0.000
Rh  0.500  0.500  0.500
Ac  0.750  0.750  0.750
Sr  0.250  0.250  0.250

[6]
Computed, not measured: an optimized crystal structure of CsB2H4 at the PBE level of DFT.

Properties
N(E_F), states/eV/atom: 0.1762
Uncorrected energy, eV/cell: -25.9
M_tot, μB/cell: 0.0
Symmetry: P-1
Calculated volume, Å³ per atom: 15.5

a b c (Å): 3.204 6.104 6.097
angles (deg): 65.38 90.37 88.00
Atoms (fractional coordinates):
B  0.251  0.499  0.501
Cs  0.000  0.000  0.000
H  0.505  0.934  0.508
H  0.495  0.066  0.492
B  0.749  0.501  0.499
H  0.497  0.508  0.934
H  0.503  0.491  0.066

[7]
Computed, not measured: an optimized crystal structure of LiSnPO2 at the PBE level of DFT.

Properties
Formation energy without anion corrections, eV per atom: -0.376
N(E_F), states/eV/atom: 0.4869
Uncorrected energy, eV/cell: -23.1
M_tot, μB/cell: 1.9
Symmetry: P4/mmm
Calculated volume, Å³ per atom: 17.4

a b c (Å): 4.063 4.063 5.280
angles (deg): 90.00 90.00 90.00
Atoms (fractional coordinates):
Li  0.500  0.500  0.500
O  0.500  0.000  0.000
Sn  0.000  0.000  0.000
P  0.000  0.000  0.500
O  0.000  0.500  0.000

[8]
Computed, not measured: an optimized crystal structure of Re2NiRh at the PBE level of DFT.

Properties
N(E_F), states/eV/atom: 1.2643
Uncorrected energy, eV/cell: -37.8
M_tot, μB/cell: 0.0
Symmetry: I4/mmm
Calculated volume, Å³ per atom: 13.8

a b c (Å): 4.774 4.774 4.774
angles (deg): 134.09 134.06 66.97
Atoms (fractional coordinates):
Rh  0.250  0.750  0.500
Re  0.000  0.000  0.000
Ni  0.750  0.250  0.500
Re  0.500  0.500  0.000